Entry 1:
Sm2YMg9 | PBE | relaxed

Calculated values
**V**: 311.29 Å³/cell
**E_form**: -0.05 eV per atom

Cell: 6.064 6.064 10.384 Å, 73.02 73.02 60.00°
Atoms (fractional coordinates):
Mg  0.079  0.585  0.750
Mg  0.666  0.666  0.002
Mg  0.500  0.500  0.500
Mg  0.585  0.585  0.750
Mg  0.585  0.079  0.750
Mg  0.334  0.334  0.998
Mg  0.921  0.415  0.250
Mg  0.415  0.921  0.250
Mg  0.415  0.415  0.250
Y  0.000  0.000  0.000
Sm  0.142  0.142  0.575
Sm  0.858  0.858  0.425

Entry 2:
Co2Ag | PBE | relaxed

Calculated values
**V**: 171.06 Å³/cell
**E_form**: 0.52 eV per atom

Cell: 4.238 2.678 15.072 Å, 90.00 90.00 90.00°
Each line ends with the local moment (μB).
Atoms (fractional coordinates):
Ag  0.000  0.250  0.623  0.01
Ag  0.000  0.750  0.377  0.01
Ag  0.500  0.750  0.123  0.01
Ag  0.500  0.250  0.877  0.01
Co  0.500  0.750  0.561  1.73
Co  0.500  0.250  0.286  1.77
Co  0.500  0.250  0.439  1.73
Co  0.000  0.250  0.061  1.73
Co  0.000  0.750  0.786  1.77
Co  0.000  0.750  0.939  1.73
Co  0.500  0.750  0.714  1.77
Co  0.000  0.250  0.214  1.77

Entry 3:
NaHoTiO4 | PBE | relaxed

Calculated values
**Uncorrected formation energy**: -2.9338 eV/atom
**V**: 186.81 Å³/cell

Cell: 6.171 6.403 6.403 Å, 63.71 61.19 61.19°
Atoms (fractional coordinates):
Ti  0.370  0.380  0.880
Ti  0.630  0.620  0.120
Na  0.500  0.000  0.500
Na  0.000  0.000  0.500
O  0.254  0.717  0.776
O  0.746  0.724  0.783
O  0.240  0.257  0.757
O  0.254  0.743  0.243
O  0.746  0.257  0.757
O  0.746  0.283  0.224
O  0.254  0.276  0.217
O  0.760  0.743  0.243
Ho  0.000  0.000  0.000
Ho  0.000  0.500  0.500